The following is a PBE calculation of a geometry-optimized CsKRb6Na structure, from the Alexandria database.

Lattice parameters (Å, degrees): 13.599 13.599 13.599 134.13 110.33 87.49
Fractional positions:
Cs 0.460 0.210 0.250
Cs 0.540 0.790 0.750
K 0.000 0.000 0.500
K 0.000 0.500 0.000
Rb 0.140 0.414 0.295
Rb 0.140 0.845 0.726
Rb 0.203 0.953 0.250
Rb 0.239 0.489 0.750
Rb 0.381 0.155 0.795
Rb 0.381 0.586 0.226
Rb 0.619 0.414 0.774
Rb 0.619 0.845 0.205
Rb 0.761 0.511 0.250
Rb 0.797 0.047 0.750
Rb 0.860 0.155 0.274
Rb 0.860 0.586 0.705
Na 0.000 0.000 0.000
Na 0.500 0.000 0.500

Properties
DFT formation energy = 0.055 eV/atom
Mass density = 1.453 g cm⁻³
Magnetization = 0.000 μB per cell
Electronic total energy = -0.9530 eV per atom

=====

The following is a PBE calculation of a geometry-optimized CsK2Rb4Na structure, from the Alexandria database.

Lattice parameters (Å, degrees): 7.177 7.183 12.607 90.00 90.17 90.00
Fractional positions:
Cs 0.000 0.000 0.000
K 0.000 0.000 0.500
K 0.500 0.500 0.000
Rb 0.000 0.500 0.281
Rb 0.000 0.500 0.719
Rb 0.500 0.000 0.281
Rb 0.500 0.000 0.719
Na 0.500 0.500 0.500

Properties
DFT formation energy = 0.022 eV/atom
Mass density = 1.472 g cm⁻³
Magnetization = 0.000 μB per cell
Electronic total energy = -1.0076 eV per atom

=====

The following is a PBE calculation of a geometry-optimized Cs2K2RbNa5 structure, from the Alexandria database.

Lattice parameters (Å, degrees): 15.178 15.178 5.504 90.00 90.00 90.00
Fractional positions:
Cs 0.176 0.324 0.000
Cs 0.324 0.824 0.000
Cs 0.676 0.176 0.000
Cs 0.824 0.676 0.000
K 0.127 0.627 0.000
K 0.373 0.127 0.000
K 0.627 0.873 0.000
K 0.873 0.373 0.000
Rb 0.000 0.000 0.000
Rb 0.500 0.500 0.000
Na 0.000 0.500 0.500
Na 0.044 0.803 0.500
Na 0.197 0.044 0.500
Na 0.303 0.544 0.500
Na 0.456 0.303 0.500
Na 0.500 0.000 0.500
Na 0.544 0.697 0.500
Na 0.697 0.456 0.500
Na 0.803 0.956 0.500
Na 0.956 0.197 0.500

Properties
DFT formation energy = 0.056 eV/atom
Mass density = 1.426 g cm⁻³
Magnetization = 0.000 μB per cell
Electronic total energy = -1.0908 eV per atom

=====

The following is a PBE calculation of a geometry-optimized Cs2KRb6Na structure, from the Alexandria database.

Lattice parameters (Å, degrees): 11.225 11.225 11.225 120.30 119.79 89.92
Fractional positions:
Cs 0.250 0.250 0.000
Cs 0.750 0.750 0.000
K 0.500 0.000 0.500
Rb 0.240 0.260 0.500
Rb 0.240 0.740 0.500
Rb 0.240 0.740 0.980
Rb 0.760 0.260 0.020
Rb 0.760 0.260 0.500
Rb 0.760 0.740 0.500
Na 0.000 0.500 0.500

Properties
DFT formation energy = 0.089 eV/atom
Mass density = 1.397 g cm⁻³
Magnetization = 0.000 μB per cell
Electronic total energy = -0.9042 eV per atom

=====

The following is a PBE calculation of a geometry-optimized CsK2Rb4Na2 structure, from the Alexandria database.

Lattice parameters (Å, degrees): 8.153 8.821 11.476 101.64 103.70 113.25
Fractional positions:
Cs 0.000 0.000 0.000
K 0.436 0.645 0.169
K 0.564 0.355 0.831
Rb 0.147 0.865 0.396
Rb 0.317 0.738 0.766
Rb 0.683 0.262 0.234
Rb 0.853 0.135 0.604
Na 0.257 0.383 0.418
Na 0.743 0.617 0.582

Properties
DFT formation energy = 0.031 eV/atom
Mass density = 1.431 g cm⁻³
Magnetization = 0.000 μB per cell
Electronic total energy = -1.0305 eV per atom

=====

The following is a PBE calculation of a geometry-optimized Cs4K2RbNa2 structure, from the Alexandria database.

Lattice parameters (Å, degrees): 8.650 9.915 11.001 63.81 78.79 64.14
Fractional positions:
Cs 0.064 0.486 0.266
Cs 0.226 0.014 0.138
Cs 0.774 0.986 0.862
Cs 0.936 0.514 0.734
K 0.324 0.928 0.678
K 0.676 0.072 0.322
Rb 0.500 0.500 0.500
Na 0.405 0.440 0.918
Na 0.595 0.560 0.082

Properties
DFT formation energy = 0.029 eV/atom
Mass density = 1.616 g cm⁻³
Magnetization = 0.000 μB per cell
Electronic total energy = -0.9944 eV per atom

=====

The following is a PBE calculation of a geometry-optimized CsK8RbNa2 structure, from the Alexandria database.

Lattice parameters (Å, degrees): 8.670 8.670 13.795 100.16 100.16 59.02
Fractional positions:
Cs 0.000 0.000 0.000
K 0.038 0.548 0.673
K 0.047 0.047 0.661
K 0.434 0.434 0.160
K 0.452 0.962 0.327
K 0.548 0.038 0.673
K 0.566 0.566 0.840
K 0.953 0.953 0.339
K 0.962 0.452 0.327
Rb 0.500 0.500 0.500
Na 0.262 0.262 0.914
Na 0.738 0.738 0.086

Properties
DFT formation energy = 0.046 eV/atom
Mass density = 1.101 g cm⁻³
Magnetization = 0.000 μB per cell
Electronic total energy = -1.0569 eV per atom

=====

The following is a PBE calculation of a geometry-optimized CsK2RbNa structure, from the Alexandria database.

Lattice parameters (Å, degrees): 7.889 7.889 7.331 90.00 90.00 90.00
Fractional positions:
Cs 0.000 0.000 0.000
K 0.000 0.500 0.500
K 0.500 0.000 0.500
Rb 0.500 0.500 0.500
Na 0.500 0.500 0.000

Properties
DFT formation energy = 0.189 eV/atom
Mass density = 1.163 g cm⁻³
Magnetization = 0.000 μB per cell
Electronic total energy = -0.8778 eV per atom

=====

The following is a PBE calculation of a geometry-optimized Cs2K2Rb4Na structure, from the Alexandria database.

Lattice parameters (Å, degrees): 10.321 10.321 10.321 118.64 118.64 92.38
Fractional positions:
Cs 0.250 0.750 0.500
Cs 0.750 0.250 0.500
K 0.233 0.233 0.000
K 0.767 0.767 0.000
Rb 0.235 0.235 0.470
Rb 0.235 0.765 0.000
Rb 0.765 0.235 0.000
Rb 0.765 0.765 0.530
Na 0.500 0.500 0.000

Properties
DFT formation energy = 0.033 eV/atom
Mass density = 1.485 g cm⁻³
Magnetization = 0.000 μB per cell
Electronic total energy = -0.9776 eV per atom

=====

The following is a PBE calculation of a geometry-optimized CsK4Rb2Na structure, from the Alexandria database.

Lattice parameters (Å, degrees): 12.660 12.660 9.250 111.31 111.31 88.00
Fractional positions:
Cs 0.000 0.000 0.000
Cs 0.000 0.000 0.500
K 0.226 0.292 0.508
K 0.256 0.744 0.519
K 0.256 0.744 0.981
K 0.292 0.226 0.008
K 0.708 0.774 0.992
K 0.744 0.256 0.019
K 0.744 0.256 0.481
K 0.774 0.708 0.492
Rb 0.000 0.500 0.000
Rb 0.500 0.000 0.500
Rb 0.500 0.500 0.000
Rb 0.500 0.500 0.500
Na 0.000 0.500 0.500
Na 0.500 0.000 0.000

Properties
DFT formation energy = 0.079 eV/atom
Mass density = 1.255 g cm⁻³
Magnetization = 0.000 μB per cell
Electronic total energy = -0.9831 eV per atom

=====

The following is a PBE calculation of a geometry-optimized CsKNa2S structure, from the Alexandria database.

Lattice parameters (Å, degrees): 5.864 5.864 6.359 90.00 90.00 90.00
Fractional positions:
Cs 0.000 0.000 0.000
K 0.500 0.500 0.000
Na 0.000 0.500 0.500
Na 0.500 0.000 0.500
S 0.500 0.500 0.500

Properties
Mass density = 1.899 g cm⁻³
Magnetization = 0.000 μB per cell
Electronic total energy = -2.1596 eV per atom
Formation energy (no corrections) = -0.416 eV/atom

=====

Copy entry 9 word for word.
The following is a PBE calculation of a geometry-optimized Cs2K2Rb4Na structure, from the Alexandria database.

Lattice parameters (Å, degrees): 10.321 10.321 10.321 118.64 118.64 92.38
Fractional positions:
Cs 0.250 0.750 0.500
Cs 0.750 0.250 0.500
K 0.233 0.233 0.000
K 0.767 0.767 0.000
Rb 0.235 0.235 0.470
Rb 0.235 0.765 0.000
Rb 0.765 0.235 0.000
Rb 0.765 0.765 0.530
Na 0.500 0.500 0.000

Properties
DFT formation energy = 0.033 eV/atom
Mass density = 1.485 g cm⁻³
Magnetization = 0.000 μB per cell
Electronic total energy = -0.9776 eV per atom

=====

What did the eleventh record say?
The following is a PBE calculation of a geometry-optimized CsKNa2S structure, from the Alexandria database.

Lattice parameters (Å, degrees): 5.864 5.864 6.359 90.00 90.00 90.00
Fractional positions:
Cs 0.000 0.000 0.000
K 0.500 0.500 0.000
Na 0.000 0.500 0.500
Na 0.500 0.000 0.500
S 0.500 0.500 0.500

Properties
Mass density = 1.899 g cm⁻³
Magnetization = 0.000 μB per cell
Electronic total energy = -2.1596 eV per atom
Formation energy (no corrections) = -0.416 eV/atom